Entry 1:
A plane-wave DFT calculation with PBE was carried out for a relaxed Pr6ErTl crystal.

Output
For the calculated formation energy, the calculation gives -0.09 eV/atom. As for the density of states at the Fermi level: 9.3 states/eV/cell.

Cell lengths 5.0687, 5.0687, 10.4081 Å; angles 90.00, 90.00, 90.00 degrees
Last column: nearest neighbours and their distance in Å.
Space group P4/mmm (No. 123)
One atom of each set of equivalent atoms:
Pr 0.0000 0.0000 0.0000 x1  4 Tl 3.58, 8 Pr 3.60
Pr 0.0000 0.0000 0.5000 x1  4 Er 3.58, 8 Pr 3.67
Pr 0.0000 0.5000 0.2451 x4  8 Pr 3.58-3.67, 2 Tl 3.60, 2 Er 3.67
Er 0.5000 0.5000 0.5000 x1  12 Pr 3.58-3.67
Tl 0.5000 0.5000 0.0000 x1  12 Pr 3.58-3.60

Entry 2:
A plane-wave DFT calculation with PBE was carried out for a relaxed DyInSn2S5 crystal.

Output
The final energy is -176.09 eV per cell.

Cell lengths 3.9472, 18.1608, 13.1364 Å; angles 90.00, 90.00, 90.00 degrees
Last column: nearest neighbours and their distance in Å.
Space group Cmc2_1 (No. 36)
One atom of each set of equivalent atoms:
Dy 0.0000 0.1963 0.0000 x4  6 S 2.71-2.86
In 0.0000 0.4575 0.4118 x4  4 S 2.44-2.55
Sn 0.0000 0.1341 0.2993 x4  2 S 2.73
Sn 0.0000 0.1474 0.6403 x4  3 S 2.67-2.70
S 0.0000 0.0403 0.0277 x4  2 In 2.49
S 0.0000 0.2944 0.6475 x4  1 Sn 2.67, 2 Dy 2.77
S 0.0000 0.3222 0.3586 x4  1 In 2.55, 2 Dy 2.73
S 0.0000 0.3452 0.0006 x4  2 Sn 2.70, 1 Dy 2.71
S 0.0000 0.4658 0.7595 x4  1 In 2.44, 2 Sn 2.73

Entry 3:
A plane-wave DFT calculation with PBE was carried out for a relaxed MnZn crystal.

Output
For the calculated formation energy, the calculation gives 0.25 eV/atom. As for the density of states at the Fermi level: 10.2 states/eV/cell.

Cell lengths 7.4520, 7.4520, 3.3558 Å; angles 90.00, 90.00, 120.00 degrees
Last column: nearest neighbours and their distance in Å.
Space group P6_3/mmc (No. 194)
One atom of each set of equivalent atoms:
Mn 0.1204 0.5602 0.2500 x6  4 Mn 2.29-2.38
Zn 0.1591 0.3182 0.7500 x6  6 Mn 2.58-2.65, 4 Zn 2.65

Entry 4:
A plane-wave DFT calculation with PBE was carried out for a relaxed TlSn3Pd12 crystal.

Output
For the calculated formation energy, the calculation gives -0.43 eV/atom. As for the density of states at the Fermi level: 8.8 states/eV/cell.

Cell lengths 4.0456, 4.0456, 16.2587 Å; angles 90.00, 90.00, 90.00 degrees
Last column: nearest neighbours and their distance in Å.
Space group P4/mmm (No. 123)
One atom of each set of equivalent atoms:
Tl 0.0000 0.0000 0.0000 x1  12 Pd 2.86-2.92
Sn 0.0000 0.0000 0.2502 x2  12 Pd 2.82-2.88
Sn 0.0000 0.0000 0.5000 x1  12 Pd 2.85-2.86
Pd 0.0000 0.5000 0.1294 x4  2 Sn 2.82, 8 Pd 2.85-2.92, 2 Tl 2.92
Pd 0.0000 0.5000 0.3761 x4  8 Pd 2.84-2.86, 4 Sn 2.85-2.88
Pd 0.5000 0.5000 0.0000 x1  4 Tl 2.86, 8 Pd 2.92
Pd 0.5000 0.5000 0.2532 x2  8 Pd 2.84-2.85, 4 Sn 2.86
Pd 0.5000 0.5000 0.5000 x1  8 Pd 2.85, 4 Sn 2.86

Entry 5:
A plane-wave DFT calculation with PBE was carried out for a relaxed Tm3CdHg2 crystal.

Output
The value obtained for the energy above the most stable polymorph in this dataset is 0.0 meV/atom. For the calculated formation energy, the calculation gives -0.42 eV/atom. As for the density of states at the Fermi level: 4.1 states/eV/cell.

Cell lengths 3.6869, 3.6869, 11.0022 Å; angles 90.00, 90.00, 90.00 degrees
Last column: nearest neighbours and their distance in Å.
Space group P4/mmm (No. 123)
One atom of each set of equivalent atoms:
Tm 0.0000 0.0000 0.0000 x1  8 Hg 3.20
Tm 0.0000 0.0000 0.3306 x2  4 Hg 3.16, 4 Cd 3.20
Cd 0.5000 0.5000 0.5000 x1  8 Tm 3.20
Hg 0.5000 0.5000 0.1687 x2  8 Tm 3.16-3.20

Entry 6:
A plane-wave DFT calculation with PBE was carried out for a relaxed YTcHg2 crystal.

Output
The value obtained for the energy above the most stable polymorph in this dataset is 316.1 meV/atom. For the calculated formation energy, the calculation gives 0.38 eV/atom. As for the density of states at the Fermi level: 7.6 states/eV/cell.

Cell lengths 4.2143, 4.2143, 20.8604 Å; angles 90.00, 90.00, 90.00 degrees
Last column: nearest neighbours and their distance in Å.
Space group I-42d (No. 122)
One atom of each set of equivalent atoms:
Y 0.0000 0.0000 0.0000 x4  4 Tc 2.98, 4 Hg 3.05
Tc 0.0000 0.0000 0.5000 x4  4 Hg 2.96, 4 Y 2.98
Hg 0.2218 0.2500 0.6250 x8  4 Hg 2.82-3.15, 2 Tc 2.96, 2 Y 3.05

Entry 7:
A plane-wave DFT calculation with PBE was carried out for a relaxed AsIr2Os crystal.

Output
For the calculated formation energy, the calculation gives 0.39 eV/atom. As for the density of states at the Fermi level: 6.1 states/eV/cell.

Cell lengths 3.9269, 3.9269, 7.7161 Å; angles 90.00, 90.00, 90.00 degrees
Last column: nearest neighbours and their distance in Å.
Space group I4/mmm (No. 139)
One atom of each set of equivalent atoms:
As 0.0000 0.0000 0.0000 x2  8 Ir 2.75, 4 Os 2.78
Ir 0.0000 0.5000 0.2500 x4  4 As 2.75, 4 Os 2.75, 4 Ir 2.78
Os 0.0000 0.0000 0.5000 x2  8 Ir 2.75, 4 As 2.78

Entry 8:
A plane-wave DFT calculation with PBE was carried out for a relaxed NpGaIrRu crystal.

Output
For the calculated formation energy, the calculation gives -0.29 eV/atom. As for the density of states at the Fermi level: 18.8 states/eV/cell.

Cell lengths 6.4866, 6.4866, 6.4866 Å; angles 90.00, 90.00, 90.00 degrees
Last column: nearest neighbours and their distance in Å.
Space group F-43m (No. 216)
One atom of each set of equivalent atoms:
Np 0.0000 0.0000 0.0000 x4  4 Ir 2.81, 4 Ru 2.81
Ga 0.0000 0.0000 0.5000 x4  4 Ru 2.81, 4 Ir 2.81
Ir 0.2500 0.2500 0.2500 x4  4 Np 2.81, 4 Ga 2.81
Ru 0.2500 0.2500 0.7500 x4  4 Np 2.81, 4 Ga 2.81